1.
A relaxed structure of Sm3Zn2Hg3. Source: the Alexandria database, functional PBE-GGA.

Its formation energy from the elements is -387 meV per atom. As for the density of states at the Fermi level: 29.26 states/eV per cell. As for the relative energy among the computed polymorphs: 0 meV/atom. The electronic total energy comes out at -2.59 eV per atom.

It has space group Cmcm (No. 63), with a = 4.628 Å, b = 11.008 Å, c = 15.492 Å, α = 90.00°, β = 90.00° and γ = 90.00°. The distinct sites, in fractional coordinates, are Sm at (0.000, 0.092, 0.104), Sm at (0.000, 0.370, 0.250), Zn at (0.000, 0.204, 0.605), Hg at (0.000, 0.348, 0.750) and Hg at (0.000, 0.382, 0.044).


2.
A relaxed structure of Sm8Zn2Hg. Source: the Alexandria database, functional PBE-GGA.

Its formation energy from the elements is -155 meV per atom. As for the density of states at the Fermi level: 23.39 states/eV per cell. As for the relative energy among the computed polymorphs: 0 meV/atom. The electronic total energy comes out at -3.85 eV per atom.

It has space group C2/m (No. 12), with a = 18.183 Å, b = 5.156 Å, c = 7.257 Å, α = 90.00°, β = 107.90° and γ = 90.00°. The distinct sites, in fractional coordinates, are Sm at (0.030, 0.000, 0.264), Sm at (0.091, 0.500, 0.965), Sm at (0.171, 0.500, 0.469), Sm at (0.196, 0.000, 0.812), Zn at (0.186, 0.000, 0.207) and Hg at (0.000, 0.500, 0.500).


3.
A relaxed structure of Sm3Zn2Hg3. Source: the Alexandria database, functional PBE-GGA.

Its formation energy from the elements is -361 meV per atom. As for the density of states at the Fermi level: 12.62 states/eV per cell. As for the relative energy among the computed polymorphs: 25 meV/atom. The electronic total energy comes out at -2.56 eV per atom.

It has space group C2/m (No. 12), with a = 18.663 Å, b = 4.022 Å, c = 5.347 Å, α = 90.00°, β = 99.64° and γ = 90.00°. The distinct sites, in fractional coordinates, are Sm at (0.000, 0.000, 0.000), Sm at (0.151, 0.000, 0.578), Zn at (0.239, 0.000, 0.157), Hg at (0.000, 0.500, 0.500) and Hg at (0.132, 0.500, 0.078).


4.
A relaxed structure of Sm3Zn3Hg2. Source: the Alexandria database, functional PBE-GGA.

Its formation energy from the elements is -360 meV per atom. As for the density of states at the Fermi level: 29.45 states/eV per cell. The electronic total energy comes out at -2.68 eV per atom.

It has space group Cmcm (No. 63), with a = 4.617 Å, b = 10.928 Å, c = 15.113 Å, α = 90.00°, β = 90.00° and γ = 90.00°. The distinct sites, in fractional coordinates, are Sm at (0.000, 0.097, 0.107), Sm at (0.000, 0.372, 0.250), Zn at (0.000, 0.350, 0.750), Zn at (0.000, 0.398, 0.039) and Hg at (0.000, 0.200, 0.601).


5.
A relaxed structure of SmZnHg. Source: the Alexandria database, functional PBE-GGA.

Its formation energy from the elements is -259 meV per atom. As for the density of states at the Fermi level: 4.31 states/eV per cell. The electronic total energy comes out at -2.36 eV per atom.

It has space group I4mm (No. 107), with a = 3.476 Å, b = 3.476 Å, c = 11.513 Å, α = 90.00°, β = 90.00° and γ = 90.00°. The distinct sites, in fractional coordinates, are Sm at (0.000, 0.000, 0.000), Zn at (0.000, 0.000, 0.329) and Hg at (0.000, 0.000, 0.688).


6.
A relaxed structure of SmZnHg2. Source: the Alexandria database, functional PBE-GGA.

Its formation energy from the elements is -279 meV per atom. As for the density of states at the Fermi level: 3.06 states/eV per cell. As for the relative energy among the computed polymorphs: 41 meV/atom. The electronic total energy comes out at -1.93 eV per atom.

It has space group P4/mmm (No. 123), with a = 4.627 Å, b = 4.627 Å, c = 4.443 Å, α = 90.00°, β = 90.00° and γ = 90.00°. The distinct sites, in fractional coordinates, are Sm at (0.000, 0.000, 0.000), Zn at (0.500, 0.500, 0.000) and Hg at (0.000, 0.500, 0.500).


7.
A relaxed structure of Sm4ZnHg. Source: the Alexandria database, functional PBE-GGA.

Its formation energy from the elements is -33 meV per atom. As for the density of states at the Fermi level: 9.52 states/eV per cell. As for the relative energy among the computed polymorphs: 216 meV/atom. The electronic total energy comes out at -3.44 eV per atom.

It has space group P4/mmm (No. 123), with a = 5.093 Å, b = 5.093 Å, c = 7.317 Å, α = 90.00°, β = 90.00° and γ = 90.00°. The distinct sites, in fractional coordinates, are Sm at (0.000, 0.500, 0.240), Zn at (0.000, 0.000, 0.000) and Hg at (0.500, 0.500, 0.500).


8.
A relaxed structure of Sm3ZnHg2. Source: the Alexandria database, functional PBE-GGA.

Its formation energy from the elements is -408 meV per atom. As for the density of states at the Fermi level: 14.01 states/eV per cell. As for the relative energy among the computed polymorphs: 14 meV/atom. The electronic total energy comes out at -3.08 eV per atom.

It has space group P-3m1 (No. 164), with a = 5.3055 Å, b = 5.3055 Å, c = 12.9909 Å, α = 90.00°, β = 90.00° and γ = 120.00°. The distinct sites, in fractional coordinates, are Sm at (0.0000, 0.0000, 0.2452), Sm at (0.3333, 0.6667, 0.4123), Sm at (0.3333, 0.6667, 0.9177), Zn at (0.3333, 0.6667, 0.1656), Hg at (0.0000, 0.0000, 0.0000), Hg at (0.0000, 0.0000, 0.5000) and Hg at (0.3333, 0.6667, 0.6698).


9.
A relaxed structure of Sm5ZnHg6. Source: the Alexandria database, functional PBE-GGA.

Its formation energy from the elements is -412 meV per atom. As for the density of states at the Fermi level: 19.52 states/eV per cell. The electronic total energy comes out at -2.64 eV per atom.

It has space group Cmmm (No. 65), with a = 5.291 Å, b = 15.467 Å, c = 7.616 Å, α = 90.00°, β = 90.00° and γ = 90.00°. The distinct sites, in fractional coordinates, are Sm at (0.000, 0.000, 0.000), Sm at (0.000, 0.322, 0.000), Sm at (0.000, 0.346, 0.500), Zn at (0.000, 0.000, 0.500), Hg at (0.000, 0.161, 0.269) and Hg at (0.000, 0.500, 0.232).


10.
A relaxed structure of Sm4Zn3Hg2. Source: the Alexandria database, functional PBE-GGA.

Its formation energy from the elements is -314 meV per atom. As for the density of states at the Fermi level: 16.20 states/eV per cell. The electronic total energy comes out at -2.90 eV per atom.

It has space group C2/m (No. 12), with a = 10.351 Å, b = 4.941 Å, c = 8.890 Å, α = 90.00°, β = 101.61° and γ = 90.00°. The distinct sites, in fractional coordinates, are Sm at (0.084, 0.000, 0.340), Sm at (0.141, 0.500, 0.912), Zn at (0.000, 0.000, 0.000), Zn at (0.119, 0.500, 0.560) and Hg at (0.239, 0.000, 0.712).


11.
A relaxed structure of Sm6ZnHg. Source: the Alexandria database, functional PBE-GGA.

Its formation energy from the elements is -182 meV per atom. As for the density of states at the Fermi level: 17.74 states/eV per cell. The electronic total energy comes out at -3.92 eV per atom.

It has space group I4/mmm (No. 139), with a = 5.190 Å, b = 5.190 Å, c = 17.761 Å, α = 90.00°, β = 90.00° and γ = 90.00°. The distinct sites, in fractional coordinates, are Sm at (0.000, 0.000, 0.250), Sm at (0.000, 0.500, 0.108), Zn at (0.000, 0.000, 0.000) and Hg at (0.000, 0.000, 0.500).


12.
A relaxed structure of Sm5Zn2Hg2. Source: the Alexandria database, functional PBE-GGA.

Its formation energy from the elements is -308 meV per atom. As for the density of states at the Fermi level: 34.02 states/eV per cell. The electronic total energy comes out at -3.28 eV per atom.

It has space group Cmce (No. 64), with a = 17.145 Å, b = 7.571 Å, c = 7.674 Å, α = 90.00°, β = 90.00° and γ = 90.00°. The distinct sites, in fractional coordinates, are Sm at (0.000, 0.000, 0.000), Sm at (0.135, 0.183, 0.323), Zn at (0.000, 0.116, 0.621) and Hg at (0.219, 0.000, 0.000).


13.
A relaxed structure of Sm3ZnHg2. Source: the Alexandria database, functional PBE-GGA.

Its formation energy from the elements is -422 meV per atom. As for the density of states at the Fermi level: 6.70 states/eV per cell. As for the relative energy among the computed polymorphs: 0 meV/atom. The electronic total energy comes out at -3.09 eV per atom.

It has space group P4/mmm (No. 123), with a = 3.714 Å, b = 3.714 Å, c = 11.388 Å, α = 90.00°, β = 90.00° and γ = 90.00°. The distinct sites, in fractional coordinates, are Sm at (0.000, 0.000, 0.000), Sm at (0.000, 0.000, 0.347), Zn at (0.500, 0.500, 0.500) and Hg at (0.500, 0.500, 0.175).


14.
A relaxed structure of Sm2Zn3Hg. Source: the Alexandria database, functional PBE-GGA.

Its formation energy from the elements is -383 meV per atom. As for the density of states at the Fermi level: 36.71 states/eV per cell. The electronic total energy comes out at -2.64 eV per atom.

It has space group Fmmm (No. 69), with a = 7.245 Å, b = 9.273 Å, c = 16.001 Å, α = 90.00°, β = 90.00° and γ = 90.00°. The distinct sites, in fractional coordinates, are Sm at (0.248, 0.000, 0.000), Sm at (0.250, 0.250, 0.250), Zn at (0.000, 0.000, 0.339), Zn at (0.000, 0.242, 0.419) and Hg at (0.000, 0.000, 0.167).


15.
A relaxed structure of Sm11Zn4Hg9. Source: the Alexandria database, functional PBE-GGA.

Its formation energy from the elements is -399 meV per atom. As for the density of states at the Fermi level: 53.34 states/eV per cell. The electronic total energy comes out at -2.89 eV per atom.

It has space group Cmmm (No. 65), with a = 14.764 Å, b = 22.104 Å, c = 3.808 Å, α = 90.00°, β = 90.00° and γ = 90.00°. The distinct sites, in fractional coordinates, are Sm at (0.000, 0.000, 0.000), Sm at (0.000, 0.168, 0.000), Sm at (0.000, 0.362, 0.000), Sm at (0.217, 0.500, 0.000), Sm at (0.245, 0.169, 0.000), Zn at (0.143, 0.406, 0.500), Hg at (0.000, 0.500, 0.500), Hg at (0.109, 0.262, 0.500) and Hg at (0.137, 0.076, 0.500).


16.
A relaxed structure of Sm2Zn2Hg. Source: the Alexandria database, functional PBE-GGA.

Its formation energy from the elements is -264 meV per atom. As for the density of states at the Fermi level: 9.73 states/eV per cell. The electronic total energy comes out at -2.72 eV per atom.

It has space group C2/m (No. 12), with a = 8.481 Å, b = 5.309 Å, c = 6.021 Å, α = 90.00°, β = 119.43° and γ = 90.00°. The distinct sites, in fractional coordinates, are Sm at (0.241, 0.000, 0.196), Zn at (0.101, 0.500, 0.238) and Hg at (0.000, 0.000, 0.500).


17.
A relaxed structure of Sm3ZnHg. Source: the Alexandria database, functional PBE-GGA.

Its formation energy from the elements is -151 meV per atom. As for the density of states at the Fermi level: 9.39 states/eV per cell. As for the relative energy among the computed polymorphs: 143 meV/atom. The electronic total energy comes out at -3.30 eV per atom.

It has space group P6_3/mmc (No. 194), with a = 8.3275 Å, b = 8.3275 Å, c = 4.8771 Å, α = 90.00°, β = 90.00° and γ = 120.00°. The distinct sites, in fractional coordinates, are Sm at (0.1918, 0.3836, 0.2500), Zn at (0.0000, 0.0000, 0.0000) and Hg at (0.3333, 0.6667, 0.7500).


18.
A relaxed structure of SmZn3Hg. Source: the Alexandria database, functional PBE-GGA.

Its formation energy from the elements is -249 meV per atom. As for the density of states at the Fermi level: 5.49 states/eV per cell. The electronic total energy comes out at -2.02 eV per atom.

It has space group P2_1/m (No. 11), with a = 5.888 Å, b = 5.636 Å, c = 6.030 Å, α = 90.00°, β = 92.63° and γ = 90.00°. The distinct sites, in fractional coordinates, are Sm at (0.161, 0.250, 0.176), Zn at (0.039, 0.750, 0.366), Zn at (0.339, 0.001, 0.636) and Hg at (0.356, 0.750, 0.041).


19.
A relaxed structure of Sm6Zn5Hg. Source: the Alexandria database, functional PBE-GGA.

Its formation energy from the elements is -339 meV per atom. As for the density of states at the Fermi level: 14.12 states/eV per cell. The electronic total energy comes out at -3.25 eV per atom.

It has space group P2/m (No. 10), with a = 5.177 Å, b = 7.343 Å, c = 8.201 Å, α = 90.00°, β = 108.27° and γ = 90.00°. The distinct sites, in fractional coordinates, are Sm at (0.000, 0.242, 0.000), Sm at (0.330, 0.244, 0.661), Zn at (0.167, 0.000, 0.334), Zn at (0.169, 0.500, 0.339), Zn at (0.500, 0.000, 0.000) and Hg at (0.500, 0.500, 0.000).


20.
A relaxed structure of Sm5Zn4Hg. Source: the Alexandria database, functional PBE-GGA.

Its formation energy from the elements is -349 meV per atom. As for the density of states at the Fermi level: 12.26 states/eV per cell. The electronic total energy comes out at -3.25 eV per atom.

It has space group P4/mmm (No. 123), with a = 3.658 Å, b = 3.658 Å, c = 18.494 Å, α = 90.00°, β = 90.00° and γ = 90.00°. The distinct sites, in fractional coordinates, are Sm at (0.000, 0.000, 0.000), Sm at (0.000, 0.000, 0.196), Sm at (0.000, 0.000, 0.389), Zn at (0.500, 0.500, 0.098), Zn at (0.500, 0.500, 0.293) and Hg at (0.500, 0.500, 0.500).


21.
A relaxed structure of Sm4ZnHg. Source: the Alexandria database, functional PBE-GGA.

Its formation energy from the elements is -249 meV per atom. As for the density of states at the Fermi level: 7.69 states/eV per cell. As for the relative energy among the computed polymorphs: 0 meV/atom. The electronic total energy comes out at -3.66 eV per atom.

It has space group P4/mmm (No. 123), with a = 3.673 Å, b = 3.673 Å, c = 12.720 Å, α = 90.00°, β = 90.00° and γ = 90.00°. The distinct sites, in fractional coordinates, are Sm at (0.000, 0.000, 0.141), Sm at (0.500, 0.500, 0.342), Zn at (0.500, 0.500, 0.000) and Hg at (0.000, 0.000, 0.500).


22.
A relaxed structure of SmZn3Hg3. Source: the Alexandria database, functional PBE-GGA.

Its formation energy from the elements is 277 meV per atom. As for the density of states at the Fermi level: 9.51 states/eV per cell. The electronic total energy comes out at -1.07 eV per atom.

It has space group Pm-3n (No. 223), with a = 7.224 Å, b = 7.224 Å, c = 7.224 Å, α = 90.00°, β = 90.00° and γ = 90.00°. The distinct sites, in fractional coordinates, are Sm at (0.000, 0.000, 0.000), Zn at (0.000, 0.250, 0.500) and Hg at (0.000, 0.500, 0.250).